Compound: AlCoSN2
Source: the Alexandria database
Functional: PBE
Structure: optimized geometry

Cell: 3.604 3.604 5.276 Å, 90.00 90.00 90.00°
Positions (direct):
Al (0.000, 0.000, 0.000)
Co (0.500, 0.500, 0.500)
S (0.000, 0.000, 0.500)
N (0.000, 0.500, 0.000)
N (0.500, 0.000, 0.000)

Output
The calculation puts the volume at 68.6 Å³ per cell. As for the uncorrected formation energy: 4.39 eV per formula unit. The relative energy among the computed polymorphs comes out at 101 meV per atom. As for the total DFT energy (no corrections): -27.2 eV per cell. The calculation puts the magnetization at 3.7 μB per formula unit.

***

Compound: AlCoS2N
Source: the Alexandria database
Functional: PBE
Structure: optimized geometry

Cell: 4.726 4.726 3.632 Å, 90.00 90.00 90.00°
Positions (direct):
Al (0.000, 0.000, 0.000)
Co (0.500, 0.500, 0.500)
S (0.000, 0.500, 0.000)
S (0.500, 0.000, 0.000)
N (0.000, 0.000, 0.500)

Output
The calculation puts the volume at 81.1 Å³ per cell. As for the uncorrected formation energy: 3.05 eV per formula unit. The relative energy among the computed polymorphs comes out at 327 meV per atom. As for the total DFT energy (no corrections): -24.4 eV per cell. The calculation puts the magnetization at 4.6 μB per formula unit.

***

Compound: AlCoSN2
Source: the Alexandria database
Functional: PBE
Structure: optimized geometry

Cell: 3.581 3.581 4.935 Å, 90.00 90.00 90.00°
Positions (direct):
Al (0.000, 0.000, 0.000)
Co (0.500, 0.500, 0.500)
S (0.500, 0.500, 0.000)
N (0.000, 0.500, 0.500)
N (0.500, 0.000, 0.500)

Output
The calculation puts the volume at 63.3 Å³ per cell. As for the uncorrected formation energy: 3.88 eV per formula unit. The relative energy among the computed polymorphs comes out at 0 meV per atom. As for the total DFT energy (no corrections): -27.7 eV per cell. The calculation puts the magnetization at 1.0 μB per formula unit.